A plane-wave DFT calculation with PBE was carried out for TbPm2Tm after structural relaxation.

Properties
For the energy above the most stable polymorph in this dataset, the calculation gives 0.00 eV per formula unit. For the volume, the calculation gives 130.1 Å³/cell. The calculation puts the density of states at the Fermi level at 5.3 states/eV per cell. The calculated total energy is -4.6350 eV/atom. The formation energy comes out at 0.016 eV/atom.

a = 3.5975 Å, b = 5.0343 Å, c = 7.1857 Å
α = 90.00°, β = 90.00°, γ = 90.00°
Closest atoms and distances in Å follow each position.
Atoms (fractional coordinates):
Tb (0.0000, 0.0000, 0.0000)  8 Pm 3.58, 2 Tm 3.59, 2 Tb 3.60
Pm (0.5000, 0.5000, 0.2508)  4 Tm 3.57, 4 Tb 3.58, 4 Pm 3.58-3.60
Pm (0.5000, 0.5000, 0.7492)  4 Tm 3.57, 4 Tb 3.58, 4 Pm 3.58-3.60
Tm (0.0000, 0.0000, 0.5000)  8 Pm 3.57, 2 Tb 3.59, 2 Tm 3.60